1.
Entry from Alexandria via LeMat-Bulk: a relaxed structure of Ga2PdRh (PBE).

Cell: 2.926 2.926 6.814 Å, 90.00 90.00 90.00°
Fractional coordinates of all 4 atoms:
Ga: 0.000 0.000 0.240
Ga: 0.000 0.000 0.760
Pd: 0.500 0.500 0.500
Rh: 0.500 0.500 0.000

- D(E_F) (states/eV/atom) = 0.47
- formation energy from the elements (eV/atom) = -0.610
- total energy (eV/atom) = -5.259


2.
Entry from Alexandria via LeMat-Bulk: a relaxed structure of Na2TlTcBr8 (PBE).

Cell: 6.523 8.982 6.800 Å, 90.00 94.83 90.00°
Fractional coordinates of all 12 atoms:
Na: 0.000 0.234 0.000
Na: 0.000 0.766 0.000
Tl: 0.500 0.500 0.500
Tc: 0.500 0.000 0.500
Br: 0.190 0.500 0.173
Br: 0.270 0.000 0.179
Br: 0.282 0.201 0.638
Br: 0.282 0.799 0.638
Br: 0.718 0.201 0.362
Br: 0.718 0.799 0.362
Br: 0.730 0.000 0.821
Br: 0.810 0.500 0.827

- D(E_F) (states/eV/atom) = 0.19
- E_form (uncorrected) (kJ/mol of formula units) = -909
- total energy (eV/atom) = -3.181


3.
Entry from Alexandria via LeMat-Bulk: a relaxed structure of La4GaTe2Se (PBE).

Cell: 7.736 4.455 7.883 Å, 90.00 109.00 90.00°
Fractional coordinates of all 8 atoms:
La: 0.241 0.000 0.231
La: 0.253 0.500 0.771
La: 0.747 0.500 0.229
La: 0.759 0.000 0.769
Ga: 0.000 0.500 0.000
Te: 0.000 0.000 0.500
Te: 0.500 0.500 0.500
Se: 0.500 0.000 0.000

- D(E_F) (states/eV/atom) = 0.48
- E_form (uncorrected) (kJ/mol of formula units) = -1116
- total energy (eV/atom) = -5.509


4.
Entry from Alexandria via LeMat-Bulk: a relaxed structure of Cs3PuCd2Cl9 (PBE).

Cell: 7.734 7.734 9.483 Å, 90.00 90.00 120.00°
Fractional coordinates of all 15 atoms:
Cs: 0.000 0.000 0.000
Cs: 0.333 0.667 0.681
Cs: 0.667 0.333 0.319
Pu: 0.000 0.000 0.500
Cd: 0.333 0.667 0.156
Cd: 0.667 0.333 0.844
Cl: 0.000 0.500 0.000
Cl: 0.169 0.337 0.333
Cl: 0.169 0.831 0.333
Cl: 0.337 0.169 0.667
Cl: 0.500 0.000 0.000
Cl: 0.500 0.500 0.000
Cl: 0.663 0.831 0.333
Cl: 0.831 0.169 0.667
Cl: 0.831 0.663 0.667

- D(E_F) (states/eV/atom) = 1.11
- E_form (uncorrected) (kJ/mol of formula units) = -2364
- total energy (eV/atom) = -3.989